{
  "formula": "HfFeAs",
  "functional": "PBE-GGA",
  "state": "relaxed",
  "crystal_system": "hexagonal",
  "delta_e_f_ev_per_atom": -0.521,
  "space_group": "P-6m2",
  "n_ef_per_ev_fu": 2.3,
  "rho_g_cm3": 11.140,
  "total_energy_ev_per_atom": -8.209,
  "lattice_angstrom": [[4.081, 0.000, 0.000], [-2.041, 3.534, 0.000], [0.000, 0.000, 3.196]],
  "species": ["Hf", "Fe", "As"],
  "frac_coords": [[0.000, 0.000, 0.000], [0.333, 0.667, 0.500], [0.667, 0.333, 0.500]]
}

{
  "formula": "Hf2FeAs",
  "functional": "PBE-GGA",
  "state": "relaxed",
  "crystal_system": "trigonal",
  "delta_e_f_ev_per_atom": 0.323,
  "space_group": "R-3m",
  "n_ef_per_ev_fu": 2.1,
  "rho_g_cm3": 9.805,
  "total_energy_ev_per_atom": -7.932,
  "lattice_angstrom": [[1.699, 0.981, 8.263], [-1.699, 0.981, 8.263], [0.000, -1.962, 8.263]],
  "species": ["Hf", "Hf", "Fe", "As"],
  "frac_coords": [[0.095, 0.095, 0.095], [0.905, 0.905, 0.905], [0.000, 0.000, 0.000], [0.500, 0.500, 0.500]]
}

{
  "formula": "Hf3FeAs2",
  "functional": "PBE-GGA",
  "state": "relaxed",
  "crystal_system": "orthorhombic",
  "delta_e_f_ev_per_atom": -0.725,
  "space_group": "Pnma",
  "n_ef_per_ev_fu": 3.0,
  "rho_g_cm3": 11.536,
  "total_energy_ev_per_atom": -8.662,
  "lattice_angstrom": [[10.629, 0.000, 0.000], [0.000, 3.795, 0.000], [0.000, 0.000, 10.579]],
  "species": ["Hf", "Hf", "Hf", "Hf", "Hf", "Hf", "Hf", "Hf", "Hf", "Hf", "Hf", "Hf", "Fe", "Fe", "Fe", "Fe", "As", "As", "As", "As", "As", "As", "As", "As"],
  "frac_coords": [[0.055, 0.250, 0.121], [0.120, 0.750, 0.554], [0.223, 0.250, 0.796], [0.277, 0.750, 0.296], [0.380, 0.250, 0.054], [0.445, 0.750, 0.621], [0.555, 0.250, 0.379], [0.620, 0.750, 0.946], [0.723, 0.250, 0.704], [0.777, 0.750, 0.204], [0.880, 0.250, 0.446], [0.945, 0.750, 0.879], [0.128, 0.250, 0.368], [0.372, 0.750, 0.868], [0.628, 0.250, 0.132], [0.872, 0.750, 0.632], [0.011, 0.750, 0.305], [0.186, 0.750, 0.994], [0.314, 0.250, 0.494], [0.489, 0.250, 0.805], [0.511, 0.750, 0.195], [0.686, 0.750, 0.506], [0.814, 0.250, 0.006], [0.989, 0.250, 0.695]]
}

{
  "formula": "HfFeAs",
  "functional": "PBE-GGA",
  "state": "relaxed",
  "crystal_system": "orthorhombic",
  "delta_e_f_ev_per_atom": -0.595,
  "space_group": "Imm2",
  "n_ef_per_ev_fu": 2.0,
  "rho_g_cm3": 10.959,
  "total_energy_ev_per_atom": -8.284,
  "lattice_angstrom": [[-1.985, 3.395, 3.477], [1.985, -3.395, 3.477], [1.985, 3.395, -3.477]],
  "species": ["Hf", "Hf", "Fe", "Fe", "As", "As"],
  "frac_coords": [[0.000, 0.000, 0.000], [0.575, 0.075, 0.500], [0.033, 0.712, 0.321], [0.391, 0.712, 0.679], [0.143, 0.381, 0.762], [0.618, 0.381, 0.238]]
}

{
  "formula": "Hf2FeAs",
  "functional": "PBE-GGA",
  "state": "relaxed",
  "crystal_system": "tetragonal",
  "delta_e_f_ev_per_atom": 0.502,
  "space_group": "I-42d",
  "n_ef_per_ev_fu": 4.0,
  "rho_g_cm3": 8.231,
  "total_energy_ev_per_atom": -7.753,
  "lattice_angstrom": [[-2.928, 2.928, 5.739], [2.928, -2.928, 5.739], [2.928, 2.928, -5.739]],
  "species": ["Hf", "Hf", "Hf", "Hf", "Fe", "Fe", "As", "As"],
  "frac_coords": [[0.087, 0.625, 0.962], [0.375, 0.337, 0.462], [0.663, 0.125, 0.038], [0.875, 0.913, 0.538], [0.000, 0.000, 0.000], [0.750, 0.250, 0.500], [0.250, 0.750, 0.500], [0.500, 0.500, 0.000]]
}

{
  "formula": "HfFeAs",
  "functional": "PBE-GGA",
  "state": "relaxed",
  "crystal_system": "monoclinic",
  "delta_e_f_ev_per_atom": -0.466,
  "space_group": "Cm",
  "n_ef_per_ev_fu": 2.2,
  "rho_g_cm3": 10.766,
  "total_energy_ev_per_atom": -8.155,
  "lattice_angstrom": [[5.045, -1.882, 0.000], [5.045, 1.882, 0.000], [-1.445, 0.000, 5.024]],
  "species": ["Hf", "Hf", "Fe", "Fe", "As", "As"],
  "frac_coords": [[0.000, 0.000, 0.000], [0.230, 0.230, 0.585], [0.328, 0.328, 0.142], [0.541, 0.541, 0.513], [0.693, 0.693, 0.947], [0.905, 0.905, 0.456]]
}

{
  "formula": "HfFeAs",
  "functional": "PBE-GGA",
  "state": "relaxed",
  "crystal_system": "hexagonal",
  "delta_e_f_ev_per_atom": -0.553,
  "space_group": "P6_3mc",
  "n_ef_per_ev_fu": 2.0,
  "rho_g_cm3": 11.001,
  "total_energy_ev_per_atom": -8.242,
  "lattice_angstrom": [[4.114, 0.000, 0.000], [-2.057, 3.563, 0.000], [0.000, 0.000, 6.371]],
  "species": ["Hf", "Hf", "Fe", "Fe", "As", "As"],
  "frac_coords": [[0.000, 0.000, 0.000], [0.000, 0.000, 0.500], [0.333, 0.667, 0.169], [0.667, 0.333, 0.669], [0.333, 0.667, 0.763], [0.667, 0.333, 0.263]]
}

{
  "formula": "HfFeAs",
  "functional": "PBE-GGA",
  "state": "relaxed",
  "crystal_system": "monoclinic",
  "delta_e_f_ev_per_atom": -0.529,
  "space_group": "Cm",
  "n_ef_per_ev_fu": 2.5,
  "rho_g_cm3": 10.667,
  "total_energy_ev_per_atom": -8.217,
  "lattice_angstrom": [[4.839, -1.970, 0.000], [4.839, 1.970, 0.000], [-1.453, 0.000, 5.050]],
  "species": ["Hf", "Hf", "Fe", "Fe", "As", "As"],
  "frac_coords": [[0.000, 0.000, 0.000], [0.612, 0.612, 0.545], [0.343, 0.343, 0.137], [0.919, 0.919, 0.469], [0.344, 0.344, 0.663], [0.710, 0.710, 0.098]]
}

{
  "formula": "HfFeHg2As",
  "functional": "PBE-GGA",
  "state": "relaxed",
  "crystal_system": "tetragonal",
  "delta_e_f_ev_per_atom": 1.182,
  "space_group": "P4/mmm",
  "n_ef_per_ev_fu": 6.0,
  "rho_g_cm3": 8.454,
  "total_energy_ev_per_atom": -3.552,
  "lattice_angstrom": [[5.479, 0.000, 0.000], [0.000, 5.479, 0.000], [0.000, 0.000, 4.649]],
  "species": ["Hf", "Fe", "Hg", "Hg", "As"],
  "frac_coords": [[0.000, 0.000, 0.000], [0.000, 0.000, 0.500], [0.000, 0.500, 0.000], [0.500, 0.000, 0.000], [0.500, 0.500, 0.500]]
}

{
  "formula": "HfFeAsSe2",
  "functional": "PBE-GGA",
  "state": "relaxed",
  "crystal_system": "tetragonal",
  "space_group": "P4/mmm",
  "relative_energy_mev_per_atom": 0,
  "n_ef_per_ev_fu": 6.0,
  "rho_g_cm3": 7.777,
  "formation_energy_uncorrected_ev_per_atom": 0.24,
  "total_energy_ev_per_atom": -5.765,
  "lattice_angstrom": [[4.704, 0.000, 0.000], [0.000, 4.704, 0.000], [0.000, 0.000, 4.509]],
  "species": ["Hf", "Fe", "As", "Se", "Se"],
  "frac_coords": [[0.000, 0.000, 0.000], [0.500, 0.500, 0.500], [0.500, 0.500, 0.000], [0.000, 0.500, 0.500], [0.500, 0.000, 0.500]]
}

{
  "formula": "HfFeAsSe2",
  "functional": "PBE-GGA",
  "state": "relaxed",
  "crystal_system": "tetragonal",
  "space_group": "P4/mmm",
  "relative_energy_mev_per_atom": 80,
  "n_ef_per_ev_fu": 4.6,
  "rho_g_cm3": 5.717,
  "formation_energy_uncorrected_ev_per_atom": 0.32,
  "total_energy_ev_per_atom": -5.686,
  "lattice_angstrom": [[5.107, 0.000, 0.000], [0.000, 5.107, 0.000], [0.000, 0.000, 5.202]],
  "species": ["Hf", "Fe", "As", "Se", "Se"],
  "frac_coords": [[0.000, 0.000, 0.000], [0.500, 0.500, 0.500], [0.000, 0.000, 0.500], [0.000, 0.500, 0.000], [0.500, 0.000, 0.000]]
}

{
  "formula": "FeHgAs3",
  "functional": "PBE-GGA",
  "state": "relaxed",
  "crystal_system": "cubic",
  "delta_e_f_ev_per_atom": 0.396,
  "space_group": "Pm-3m",
  "relative_energy_mev_per_atom": 0,
  "n_ef_per_ev_fu": 4.7,
  "rho_g_cm3": 7.959,
  "total_energy_ev_per_atom": -4.147,
  "lattice_angstrom": [[4.648, 0.000, 0.000], [0.000, 4.648, 0.000], [0.000, 0.000, 4.648]],
  "species": ["Fe", "Hg", "As", "As", "As"],
  "frac_coords": [[0.000, 0.000, 0.000], [0.500, 0.500, 0.500], [0.000, 0.000, 0.500], [0.000, 0.500, 0.000], [0.500, 0.000, 0.000]]
}